The following is a PBE calculation of a geometry-optimized HoErThMg structure, from Alexandria.

Offset from the most stable computed form   0.00 kcal/mol of atoms
Symmetry   P4mm, No. 99
Calculated formation energy   -39 meV per atom

abc: 3.569 3.569 9.192
angles: 90.00 90.00 90.00
Fractional coordinates of all 4 atoms:
Er1 0.000 0.000 0.082
Mg1 0.500 0.500 0.320
Ho1 0.000 0.000 0.561
Th1 0.500 0.500 0.822